Record 1
VASP calculation (GGA-PBE) on La2NdSc after structural relaxation.

It has space group P4/mmm (No. 123), with a = 3.717 Å, b = 3.717 Å, c = 9.631 Å, α = 90.00°, β = 90.00° and γ = 90.00°. The inequivalent atoms are La at (0.000, 0.000, 0.233), Nd at (0.500, 0.500, 0.500) and Sc at (0.500, 0.500, 0.000).

The distance to the lowest polymorph of the same formula is 5 meV/atom. For the total magnetic moment, the calculation gives 0.00 μB/cell. The energy relative to the elements is 0.043 eV per atom.

---

Record 2
VASP calculation (GGA-PBE) on Be2NiRu after structural relaxation.

It has space group P4/mmm (No. 123), with a = 3.788 Å, b = 3.788 Å, c = 2.787 Å, α = 90.00°, β = 90.00° and γ = 90.00°. The inequivalent atoms are Be at (0.000, 0.500, 0.000), Ni at (0.000, 0.000, 0.500) and Ru at (0.500, 0.500, 0.500).

For the total magnetic moment, the calculation gives 0.00 μB/cell. The energy relative to the elements is -0.339 eV per atom.

---

Record 3
VASP calculation (GGA-PBE) on Pr8Os2Pb after structural relaxation.

It has space group C2/m (No. 12), with a = 9.133 Å, b = 13.647 Å, c = 5.695 Å, α = 90.00°, β = 102.91° and γ = 90.00°. The inequivalent atoms are Pr at (0.000, 0.248, 0.000), Pr at (0.111, 0.000, 0.795), Pr at (0.195, 0.370, 0.569), Os at (0.000, 0.188, 0.500) and Pb at (0.000, 0.500, 0.000).

For the total magnetic moment, the calculation gives 0.00 μB/cell. The energy relative to the elements is -0.100 eV per atom.

---

Record 4
VASP calculation (GGA-PBE) on SmPaCoS4 after structural relaxation.

It has space group P2_1/m (No. 11), with a = 6.352 Å, b = 5.713 Å, c = 7.751 Å, α = 90.00°, β = 105.86° and γ = 90.00°. The inequivalent atoms are Sm at (0.238, 0.250, 0.437), Pa at (0.252, 0.250, 0.943), Co at (0.262, 0.750, 0.163), S at (0.073, 0.750, 0.371), S at (0.073, 0.750, 0.890) and S at (0.484, 0.508, 0.750).

Its uncorrected formation energy is -1.43 eV/atom. For the total magnetic moment, the calculation gives 0.00 μB/cell.

---

Record 5
VASP calculation (GGA-PBE) on Tm2AlZn2Cu5 after structural relaxation.

It has space group P4/mbm (No. 127), with a = 9.620 Å, b = 9.620 Å, c = 3.499 Å, α = 90.00°, β = 90.00° and γ = 90.00°. The inequivalent atoms are Tm at (0.179, 0.321, 0.000), Al at (0.000, 0.000, 0.000), Zn at (0.121, 0.621, 0.000), Cu at (0.000, 0.500, 0.500) and Cu at (0.051, 0.805, 0.500).

For the total magnetic moment, the calculation gives 0.00 μB/cell. The energy relative to the elements is -0.173 eV per atom.

---

Record 6
VASP calculation (GGA-PBE) on RbFe3Sb after structural relaxation.

It has space group Pm-3m (No. 221), with a = 4.758 Å, b = 4.758 Å, c = 4.758 Å, α = 90.00°, β = 90.00° and γ = 90.00°. The inequivalent atoms are Rb at (0.000, 0.000, 0.000), Fe at (0.000, 0.000, 0.500) and Sb at (0.500, 0.500, 0.500).

Its uncorrected formation energy is 2.34 eV/atom. The distance to the lowest polymorph of the same formula is 1238 meV/atom. For the total magnetic moment, the calculation gives 8.26 μB/cell.

---

Record 7
VASP calculation (GGA-PBE) on Cr8In after structural relaxation.

It has space group I4/mmm (No. 139), with a = 7.374 Å, b = 7.374 Å, c = 4.248 Å, α = 90.00°, β = 90.00° and γ = 90.00°. The inequivalent atoms are Cr at (0.000, 0.349, 0.000), Cr at (0.173, 0.173, 0.500) and In at (0.000, 0.000, 0.000).

For the total magnetic moment, the calculation gives 0.01 μB/cell. The energy relative to the elements is 0.421 eV per atom.

---

Record 8
VASP calculation (GGA-PBE) on Ho2HRh after structural relaxation.

It has space group P4/mmm (No. 123), with a = 3.227 Å, b = 3.227 Å, c = 7.024 Å, α = 90.00°, β = 90.00° and γ = 90.00°. The inequivalent atoms are Ho at (0.000, 0.000, 0.247), H at (0.500, 0.500, 0.000) and Rh at (0.500, 0.500, 0.500).

The distance to the lowest polymorph of the same formula is 351 meV/atom. For the total magnetic moment, the calculation gives 0.00 μB/cell.

---

Record 9
VASP calculation (GGA-PBE) on CaTiOF2 after structural relaxation.

It has space group P4/mmm (No. 123), with a = 4.166 Å, b = 4.166 Å, c = 4.642 Å, α = 90.00°, β = 90.00° and γ = 90.00°. The inequivalent atoms are Ca at (0.000, 0.000, 0.000), Ti at (0.500, 0.500, 0.500), O at (0.000, 0.000, 0.500) and F at (0.000, 0.500, 0.000).

Its uncorrected formation energy is -2.01 eV/atom. The distance to the lowest polymorph of the same formula is 696 meV/atom. For the total magnetic moment, the calculation gives 2.00 μB/cell.

---

Record 10
VASP calculation (GGA-PBE) on LaPr2HoSe5 after structural relaxation.

It has space group P4/mmm (No. 123), with a = 5.136 Å, b = 5.136 Å, c = 11.066 Å, α = 90.00°, β = 90.00° and γ = 90.00°. The inequivalent atoms are La at (0.000, 0.000, 0.000), Pr at (0.500, 0.500, 0.327), Ho at (0.000, 0.000, 0.500), Se at (0.000, 0.000, 0.252), Se at (0.000, 0.500, 0.500) and Se at (0.500, 0.500, 0.000).

Its uncorrected formation energy is -1.38 eV/atom. For the total magnetic moment, the calculation gives 0.00 μB/cell.

---

Record 11
VASP calculation (GGA-PBE) on Tb3Tm8 after structural relaxation.

It has space group R-3 (No. 148, hexagonal axes), with a = 8.6954 Å, b = 8.6954 Å, c = 17.8594 Å, α = 90.00°, β = 90.00° and γ = 120.00°. The inequivalent atoms are Tb at (0.0000, 0.5000, 0.0000), Tm at (0.0000, 0.0000, 0.4226) and Tm at (0.0691, 0.8152, 0.1328).

The distance to the lowest polymorph of the same formula is 564 meV/atom. For the total magnetic moment, the calculation gives 0.00 μB/cell. The energy relative to the elements is 0.590 eV per atom.

---

Record 12
VASP calculation (GGA-PBE) on NdSmAlPd after structural relaxation.

It has space group F-43m (No. 216), with a = 7.358 Å, b = 7.358 Å, c = 7.358 Å, α = 90.00°, β = 90.00° and γ = 90.00°. The inequivalent atoms are Nd at (0.000, 0.000, 0.000), Sm at (0.000, 0.000, 0.500), Al at (0.250, 0.250, 0.250) and Pd at (0.250, 0.250, 0.750).

The distance to the lowest polymorph of the same formula is 75 meV/atom. For the total magnetic moment, the calculation gives 0.00 μB/cell. The energy relative to the elements is -0.480 eV per atom.

---

Number 1: D(E_F) 6.32 states/eV per cell, E_tot -20.78 eV per formula unit. Number 2: D(E_F) 3.70 states/eV per cell, E_tot -23.87 eV per formula unit. Number 3: D(E_F) 23.94 states/eV per cell, E_tot -65.50 eV per formula unit. Number 4: D(E_F) 8.03 states/eV per cell, E_tot -47.87 eV per formula unit. Number 5: D(E_F) 11.03 states/eV per cell, E_tot -37.45 eV per formula unit. Number 6: D(E_F) 5.76 states/eV per cell, E_tot -18.78 eV per formula unit. Number 7: D(E_F) 21.91 states/eV per cell, E_tot -75.94 eV per formula unit. Number 8: D(E_F) 3.38 states/eV per cell, E_tot -21.23 eV per formula unit. Number 9: D(E_F) 3.91 states/eV per cell, E_tot -28.64 eV per formula unit. Number 10: D(E_F) 6.31 states/eV per cell, E_tot -48.94 eV per formula unit. Number 11: D(E_F) 47.67 states/eV per cell, E_tot -43.17 eV per formula unit. Number 12: D(E_F) 14.99 states/eV per cell, E_tot -20.34 eV per formula unit.